The following is a DFT calculation (PBE) of a relaxed structure of AcErCuPb.

Unit cell a=7.7014 b=7.7014 c=7.7014 alpha=90.00 beta=90.00 gamma=90.00
Fractional positions:
1 Ac 0.0000 0.0000 0.0000
2 Ac 0.0000 0.5000 0.5000
3 Ac 0.5000 0.0000 0.5000
4 Ac 0.5000 0.5000 0.0000
5 Er 0.0000 0.0000 0.5000
6 Er 0.0000 0.5000 0.0000
7 Er 0.5000 0.0000 0.0000
8 Er 0.5000 0.5000 0.5000
9 Cu 0.2500 0.2500 0.7500
10 Cu 0.2500 0.7500 0.2500
11 Cu 0.7500 0.2500 0.2500
12 Cu 0.7500 0.7500 0.7500
13 Pb 0.2500 0.2500 0.2500
14 Pb 0.2500 0.7500 0.7500
15 Pb 0.7500 0.2500 0.7500
16 Pb 0.7500 0.7500 0.2500

Space-group type: No. 216
Formation energy from the elements: -0.21 eV per atom

=====

The following is a DFT calculation (PBE) of a relaxed structure of AcErCuPd.

Unit cell a=7.3025 b=7.3025 c=7.3025 alpha=90.00 beta=90.00 gamma=90.00
Fractional positions:
1 Ac 0.0000 0.0000 0.0000
2 Ac 0.0000 0.5000 0.5000
3 Ac 0.5000 0.0000 0.5000
4 Ac 0.5000 0.5000 0.0000
5 Er 0.0000 0.0000 0.5000
6 Er 0.0000 0.5000 0.0000
7 Er 0.5000 0.0000 0.0000
8 Er 0.5000 0.5000 0.5000
9 Cu 0.2500 0.2500 0.7500
10 Cu 0.2500 0.7500 0.2500
11 Cu 0.7500 0.2500 0.2500
12 Cu 0.7500 0.7500 0.7500
13 Pd 0.2500 0.2500 0.2500
14 Pd 0.2500 0.7500 0.7500
15 Pd 0.7500 0.2500 0.7500
16 Pd 0.7500 0.7500 0.2500

Space-group type: No. 216
Formation energy from the elements: -0.43 eV per atom

=====

The following is a DFT calculation (PBE) of a relaxed structure of AcErCuPt.

Unit cell a=7.2761 b=7.2761 c=7.2761 alpha=90.00 beta=90.00 gamma=90.00
Fractional positions:
1 Ac 0.0000 0.0000 0.0000
2 Ac 0.0000 0.5000 0.5000
3 Ac 0.5000 0.0000 0.5000
4 Ac 0.5000 0.5000 0.0000
5 Er 0.0000 0.0000 0.5000
6 Er 0.0000 0.5000 0.0000
7 Er 0.5000 0.0000 0.0000
8 Er 0.5000 0.5000 0.5000
9 Cu 0.2500 0.2500 0.7500
10 Cu 0.2500 0.7500 0.2500
11 Cu 0.7500 0.2500 0.2500
12 Cu 0.7500 0.7500 0.7500
13 Pt 0.2500 0.2500 0.2500
14 Pt 0.2500 0.7500 0.7500
15 Pt 0.7500 0.2500 0.7500
16 Pt 0.7500 0.7500 0.2500

Space-group type: No. 216
Formation energy from the elements: -0.60 eV per atom

=====

The following is a DFT calculation (PBE) of a relaxed structure of AcErCuRh.

Unit cell a=7.1995 b=7.1995 c=7.1995 alpha=90.00 beta=90.00 gamma=90.00
Fractional positions:
1 Ac 0.0000 0.0000 0.0000
2 Ac 0.0000 0.5000 0.5000
3 Ac 0.5000 0.0000 0.5000
4 Ac 0.5000 0.5000 0.0000
5 Er 0.0000 0.0000 0.5000
6 Er 0.0000 0.5000 0.0000
7 Er 0.5000 0.0000 0.0000
8 Er 0.5000 0.5000 0.5000
9 Cu 0.2500 0.2500 0.2500
10 Cu 0.2500 0.7500 0.7500
11 Cu 0.7500 0.2500 0.7500
12 Cu 0.7500 0.7500 0.2500
13 Rh 0.2500 0.2500 0.7500
14 Rh 0.2500 0.7500 0.2500
15 Rh 0.7500 0.2500 0.2500
16 Rh 0.7500 0.7500 0.7500

Space-group type: No. 216
Formation energy from the elements: -0.39 eV per atom

=====

The following is a DFT calculation (PBE) of a relaxed structure of Ac2ErCuS5.

Unit cell a=8.8144 b=8.8144 c=12.0874 alpha=90.00 beta=90.00 gamma=153.37
Fractional positions:
1 Ac 0.1130 0.8870 0.5000
2 Ac 0.1232 0.8768 0.1306
3 Ac 0.8768 0.1232 0.6306
4 Ac 0.8870 0.1130 0.0000
5 Er 0.1899 0.8101 0.8240
6 Er 0.8101 0.1899 0.3240
7 Cu 0.4437 0.5563 0.2575
8 Cu 0.5563 0.4437 0.7575
9 S 0.0389 0.9611 0.8531
10 S 0.2944 0.7056 0.4782
11 S 0.3102 0.6898 0.1711
12 S 0.3498 0.6502 0.8178
13 S 0.4986 0.5014 0.5852
14 S 0.5014 0.4986 0.0852
15 S 0.6502 0.3498 0.3178
16 S 0.6898 0.3102 0.6711
17 S 0.7056 0.2944 0.9782
18 S 0.9611 0.0389 0.3531

Space-group type: No. 36

=====

The following is a DFT calculation (PBE) of a relaxed structure of AcErCu2S4.

Unit cell a=6.4917 b=7.0158 c=7.9059 alpha=90.00 beta=90.00 gamma=90.00
Fractional positions:
1 Ac 0.0000 0.0000 0.0000
2 Ac 0.5000 0.5000 0.5000
3 Er 0.0000 0.0000 0.5000
4 Er 0.5000 0.5000 0.0000
5 Cu 0.0000 0.5000 0.1629
6 Cu 0.0000 0.5000 0.8371
7 Cu 0.5000 0.0000 0.3371
8 Cu 0.5000 0.0000 0.6629
9 S 0.2407 0.2005 0.3042
10 S 0.2407 0.7995 0.6958
11 S 0.2593 0.2995 0.8042
12 S 0.2593 0.7005 0.1958
13 S 0.7407 0.2995 0.1958
14 S 0.7407 0.7005 0.8042
15 S 0.7593 0.2005 0.6958
16 S 0.7593 0.7995 0.3042

Space-group type: No. 23

=====

The following is a DFT calculation (PBE) of a relaxed structure of AcErCuS4.

Unit cell a=6.7400 b=5.7613 c=8.1770 alpha=90.00 beta=107.28 gamma=90.00
Fractional positions:
1 Ac 0.2381 0.2500 0.4343
2 Ac 0.7619 0.7500 0.5657
3 Er 0.2341 0.2500 0.9370
4 Er 0.7659 0.7500 0.0630
5 Cu 0.2570 0.7500 0.1841
6 Cu 0.7430 0.2500 0.8159
7 S 0.0662 0.7500 0.9039
8 S 0.0672 0.7500 0.3738
9 S 0.4828 0.5131 0.7686
10 S 0.4828 0.9869 0.7686
11 S 0.5172 0.0131 0.2314
12 S 0.5172 0.4869 0.2314
13 S 0.9328 0.2500 0.6262
14 S 0.9338 0.2500 0.0961

Space-group type: No. 11

=====

The following is a DFT calculation (PBE) of a relaxed structure of AcErCu2Si2.

Unit cell a=4.2436 b=4.2436 c=7.9051 alpha=90.00 beta=90.00 gamma=120.00
Fractional positions:
1 Ac 0.0000 0.0000 0.0000
2 Er 0.0000 0.0000 0.5000
3 Cu 0.3333 0.6667 0.7082
4 Cu 0.6667 0.3333 0.2918
5 Si 0.3333 0.6667 0.2792
6 Si 0.6667 0.3333 0.7208

Space-group type: No. 164

=====

The following is a DFT calculation (PBE) of a relaxed structure of AcErCuSn.

Unit cell a=7.6226 b=7.6226 c=7.6226 alpha=90.00 beta=90.00 gamma=90.00
Fractional positions:
1 Ac 0.0000 0.0000 0.0000
2 Ac 0.0000 0.5000 0.5000
3 Ac 0.5000 0.0000 0.5000
4 Ac 0.5000 0.5000 0.0000
5 Er 0.0000 0.0000 0.5000
6 Er 0.0000 0.5000 0.0000
7 Er 0.5000 0.0000 0.0000
8 Er 0.5000 0.5000 0.5000
9 Cu 0.2500 0.2500 0.2500
10 Cu 0.2500 0.7500 0.7500
11 Cu 0.7500 0.2500 0.7500
12 Cu 0.7500 0.7500 0.2500
13 Sn 0.2500 0.2500 0.7500
14 Sn 0.2500 0.7500 0.2500
15 Sn 0.7500 0.2500 0.2500
16 Sn 0.7500 0.7500 0.7500

Space-group type: No. 216
Formation energy from the elements: -0.32 eV per atom

=====

The following is a DFT calculation (PBE) of a relaxed structure of AcErCu2Te4.

Unit cell a=7.3083 b=7.9048 c=8.6204 alpha=90.00 beta=90.00 gamma=90.00
Fractional positions:
1 Ac 0.0000 0.0000 0.0000
2 Ac 0.5000 0.5000 0.5000
3 Er 0.0000 0.0000 0.5000
4 Er 0.5000 0.5000 0.0000
5 Cu 0.0000 0.5000 0.1439
6 Cu 0.0000 0.5000 0.8561
7 Cu 0.5000 0.0000 0.3561
8 Cu 0.5000 0.0000 0.6439
9 Te 0.2449 0.2053 0.3018
10 Te 0.2449 0.7947 0.6982
11 Te 0.2551 0.2947 0.8018
12 Te 0.2551 0.7053 0.1982
13 Te 0.7449 0.2947 0.1982
14 Te 0.7449 0.7053 0.8018
15 Te 0.7551 0.2053 0.6982
16 Te 0.7551 0.7947 0.3018

Space-group type: No. 23

=====

The following is a DFT calculation (PBE) of a relaxed structure of Ac2ErCuTe5.

Unit cell a=10.0117 b=10.0117 c=13.2998 alpha=90.00 beta=90.00 gamma=154.24
Fractional positions:
1 Ac 0.1103 0.8897 0.5000
2 Ac 0.1243 0.8757 0.1209
3 Ac 0.8757 0.1243 0.6209
4 Ac 0.8897 0.1103 0.0000
5 Er 0.1908 0.8092 0.8224
6 Er 0.8092 0.1908 0.3224
7 Cu 0.4274 0.5726 0.2673
8 Cu 0.5726 0.4274 0.7673
9 Te 0.0442 0.9558 0.8679
10 Te 0.2874 0.7126 0.4787
11 Te 0.3087 0.6913 0.1631
12 Te 0.3512 0.6488 0.8136
13 Te 0.4990 0.5010 0.0981
14 Te 0.5010 0.4990 0.5981
15 Te 0.6488 0.3512 0.3136
16 Te 0.6913 0.3087 0.6631
17 Te 0.7126 0.2874 0.9787
18 Te 0.9558 0.0442 0.3679

Space-group type: No. 36

=====

The following is a DFT calculation (PBE) of a relaxed structure of Ac3EuCu.

Unit cell a=5.9689 b=5.9689 c=5.9689 alpha=90.00 beta=90.00 gamma=90.00
Fractional positions:
1 Ac 0.0000 0.0000 0.5000
2 Ac 0.0000 0.5000 0.0000
3 Ac 0.5000 0.0000 0.0000
4 Eu 0.5000 0.5000 0.5000
5 Cu 0.0000 0.0000 0.0000

Space-group type: No. 221
Formation energy from the elements: 0.09 eV per atom

=====

| no. | energy (eV/cell) |
| --- | --- |
| 1 | -69.312 |
| 2 | -78.728 |
| 3 | -84.864 |
| 4 | -86.663 |
| 5 | -108.255 |
| 6 | -87.473 |
| 7 | -80.035 |
| 8 | -31.367 |
| 9 | -72.278 |
| 10 | -71.428 |
| 11 | -88.662 |
| 12 | -26.233 |